DFT (PBE-GGA) results for a relaxed structure of YTcMo.

Summary:
energy above the most stable polymorph in this dataset = 359.4 meV per atom
Fermi-level density of states = 2.7 states/eV/f.u.
mass density = 8.28 g/cm3
raw total energy = -8.920 eV per atom

Cell: 4.5134 4.5134 3.2141 Å, 90.00 90.00 120.00°
Element x y z (fractional)
Y  0.0000  0.0000  0.0000
Tc  0.3333  0.6667  0.6176
Mo  0.6667  0.3333  0.3946